# 1
## Ca2AcBi (PBE)

Data for a relaxed structure of Ca2AcBi.

Lattice parameters (Å, degrees): 4.422 4.422 7.402 90.00 90.00 90.00
Element x y z (fractional)
1 Bi 0.500 0.500 0.000
2 Ca 0.000 0.000 0.217
3 Ca 0.000 0.000 0.783
4 Ac 0.500 0.500 0.500

Total magnetic moment: 0.00 μB/cell
Energy above the most stable polymorph in this dataset: 0.035 eV per atom
VASP energy: -3.341 eV per atom
V: 36.2 Å³ per atom
DOS(E_F): 3.91 states/eV per cell
Space-group type: P4/mmm (123)

# 2
## Ca2AcBi (PBE)

Data for a relaxed structure of Ca2AcBi.

Lattice parameters (Å, degrees): 5.579 5.108 5.108 90.00 90.00 90.00
Element x y z (fractional)
1 Ca 0.000 0.000 0.500
2 Ca 0.000 0.500 0.000
3 Ac 0.500 0.500 0.500
4 Bi 0.500 0.000 0.000

Total magnetic moment: 0.00 μB/cell
Energy above the most stable polymorph in this dataset: 0.000 eV per atom
VASP energy: -3.377 eV per atom
V: 36.4 Å³ per atom
DOS(E_F): 3.71 states/eV per cell
Space-group type: P4/mmm (123)

# 3
## CaAcCdBi (PBE)

Data for a relaxed structure of CaAcCdBi.

Lattice parameters (Å, degrees): 5.724 5.724 5.724 60.00 60.00 60.00
Element x y z (fractional)
1 Ac 0.500 0.500 0.500
2 Ca 0.000 0.000 0.000
3 Bi 0.250 0.250 0.250
4 Cd 0.750 0.750 0.750

Total magnetic moment: 0.00 μB/cell
VASP energy: -3.231 eV per atom
V: 33.2 Å³ per atom
DOS(E_F): 5.27 states/eV per cell
Space-group type: F-43m (216)

# 4
## CaAcCe2Bi4 (PBE)

Data for a relaxed structure of CaAcCe2Bi4.

Lattice parameters (Å, degrees): 4.694 8.123 8.086 70.54 90.00 90.00
Element x y z (fractional)
1 Bi 0.500 0.234 0.760
2 Bi 0.500 0.766 0.240
3 Ce 0.000 0.000 0.000
4 Ce 0.500 0.000 0.500
5 Ca 0.500 0.500 0.000
6 Ac 0.000 0.500 0.500
7 Bi 0.000 0.764 0.750
8 Bi 0.000 0.236 0.250

Total magnetic moment: 1.00 μB/cell
VASP energy: -5.023 eV per atom
V: 36.3 Å³ per atom
DOS(E_F): 8.28 states/eV per cell
Space-group type: P2/m (10)

# 5
## CaAc2CeBi4 (PBE)

Data for a relaxed structure of CaAc2CeBi4.

Lattice parameters (Å, degrees): 4.775 8.216 8.176 109.65 90.00 90.00
Element x y z (fractional)
1 Bi 0.500 0.240 0.231
2 Ce 0.000 0.000 0.000
3 Ca 0.500 0.500 0.000
4 Ac 0.000 0.500 0.500
5 Bi 0.000 0.750 0.233
6 Ac 0.500 0.000 0.500
7 Bi 0.500 0.760 0.769
8 Bi 0.000 0.250 0.767

Total magnetic moment: 0.24 μB/cell
VASP energy: -4.828 eV per atom
V: 37.8 Å³ per atom
DOS(E_F): 4.54 states/eV per cell
Space-group type: P2/m (10)

# 6
## CaAcBiCl (PBE)

Data for a relaxed structure of CaAcBiCl.

Lattice parameters (Å, degrees): 5.598 5.598 5.598 60.00 60.00 60.00
Element x y z (fractional)
1 Ac 0.000 0.000 0.000
2 Bi 0.250 0.250 0.250
3 Cl 0.750 0.750 0.750
4 Ca 0.500 0.500 0.500

Total magnetic moment: 0.00 μB/cell
Formation energy (no corrections): -1.126 eV/atom
VASP energy: -4.086 eV per atom
V: 31.0 Å³ per atom
DOS(E_F): 2.12 states/eV per cell
Space-group type: F-43m (216)

# 7
## CaAcCuBi (PBE)

Data for a relaxed structure of CaAcCuBi.

Lattice parameters (Å, degrees): 5.552 5.552 5.552 60.00 60.00 60.00
Element x y z (fractional)
1 Cu 0.250 0.250 0.250
2 Ca 0.500 0.500 0.500
3 Ac 0.000 0.000 0.000
4 Bi 0.750 0.750 0.750

Total magnetic moment: 0.00 μB/cell
VASP energy: -3.904 eV per atom
V: 30.3 Å³ per atom
DOS(E_F): 2.75 states/eV per cell
Space-group type: F-43m (216)

# 8
## CaAcDy2Bi4 (PBE)

Data for a relaxed structure of CaAcDy2Bi4.

Lattice parameters (Å, degrees): 4.606 8.122 7.927 70.86 90.00 90.00
Element x y z (fractional)
1 Dy 0.000 0.000 0.000
2 Ac 0.000 0.500 0.500
3 Bi 0.000 0.233 0.250
4 Ca 0.500 0.500 0.000
5 Bi 0.500 0.771 0.237
6 Dy 0.500 0.000 0.500
7 Bi 0.500 0.229 0.763
8 Bi 0.000 0.767 0.750

Total magnetic moment: 0.00 μB/cell
VASP energy: -4.682 eV per atom
V: 35.0 Å³ per atom
DOS(E_F): 3.66 states/eV per cell
Space-group type: P2/m (10)

The highest total magnetic moment belongs to which entry?
CaAcCe2Bi4

Repeat the third record exactly.
## CaAcCdBi (PBE)

Data for a relaxed structure of CaAcCdBi.

Lattice parameters (Å, degrees): 5.724 5.724 5.724 60.00 60.00 60.00
Element x y z (fractional)
1 Ac 0.500 0.500 0.500
2 Ca 0.000 0.000 0.000
3 Bi 0.250 0.250 0.250
4 Cd 0.750 0.750 0.750

Total magnetic moment: 0.00 μB/cell
VASP energy: -3.231 eV per atom
V: 33.2 Å³ per atom
DOS(E_F): 5.27 states/eV per cell
Space-group type: F-43m (216)

Which value of V does entry 3 give?
33.2 Å³ per atom